A relaxed structure of CsSrCdS2, computed with GGA-PBE.

abc: 8.058 5.635 8.487
angles: 90.00 100.44 90.00
Positions (direct):
Cs: 0.000 0.181 0.250
Cs: 0.000 0.819 0.750
Sr: 0.500 0.493 0.750
Sr: 0.500 0.507 0.250
Cd: 0.500 0.000 0.000
Cd: 0.500 0.000 0.500
S: 0.276 0.324 0.963
S: 0.276 0.676 0.463
S: 0.724 0.324 0.537
S: 0.724 0.676 0.037

Calculated values
Its space-group type is P2/c (13). For the total energy, the calculation gives -0.24511 Ry per atom. For the formation energy without anion corrections, the calculation gives -0.994 eV per atom.

A relaxed structure of Ba2AlAs2, computed with GGA-PBE.

abc: 5.757 5.757 11.304
angles: 90.00 90.00 90.00
Positions (direct):
Ba: 0.000 0.500 0.250
Ba: 0.000 0.500 0.750
Ba: 0.500 0.000 0.250
Ba: 0.500 0.000 0.750
Al: 0.000 0.000 0.000
Al: 0.500 0.500 0.500
As: 0.000 0.000 0.391
As: 0.000 0.000 0.609
As: 0.500 0.500 0.109
As: 0.500 0.500 0.891

Calculated values
Its space-group type is I4/mmm (139). As for the formation energy: -0.97 eV/f.u. For the total energy, the calculation gives -0.26254 Ry per atom. The energy above the most stable polymorph in this dataset is 677 meV/atom.

A relaxed structure of TiBeB2, computed with GGA-PBE.

abc: 3.485 3.485 12.568
angles: 90.00 90.00 90.00
Positions (direct):
Ti: 0.000 0.250 0.375
Ti: 0.000 0.750 0.625
Ti: 0.500 0.250 0.125
Ti: 0.500 0.750 0.875
Be: 0.000 0.250 0.875
Be: 0.000 0.750 0.125
Be: 0.500 0.250 0.625
Be: 0.500 0.750 0.375
B: 0.000 0.000 0.000
B: 0.000 0.500 0.000
B: 0.250 0.250 0.750
B: 0.250 0.750 0.250
B: 0.500 0.000 0.500
B: 0.500 0.500 0.500
B: 0.750 0.250 0.750
B: 0.750 0.750 0.250

Calculated values
Its space-group type is I4_1/amd (141). As for the formation energy: -0.24 eV/f.u. For the total energy, the calculation gives -0.46328 Ry per atom.

A relaxed structure of PmSmSO2, computed with GGA-PBE.

abc: 3.875 3.875 12.295
angles: 90.00 90.00 90.00
Positions (direct):
Pm: 0.000 0.000 0.000
Pm: 0.500 0.500 0.500
Sm: 0.000 0.000 0.303
Sm: 0.500 0.500 0.803
S: 0.000 0.000 0.651
S: 0.500 0.500 0.151
O: 0.000 0.500 0.400
O: 0.000 0.500 0.900
O: 0.500 0.000 0.400
O: 0.500 0.000 0.900

Calculated values
Its space-group type is I4mm (107). For the total energy, the calculation gives -0.56541 Ry per atom. For the formation energy without anion corrections, the calculation gives -2.990 eV per atom.

A relaxed structure of GaCu7Si2, computed with GGA-PBE.

abc: 8.840 8.840 8.840
angles: 153.66 153.66 37.60
Positions (direct):
Ga: 0.000 0.000 0.000
Cu: 0.095 0.595 0.500
Cu: 0.250 0.750 0.500
Cu: 0.405 0.905 0.500
Cu: 0.500 0.500 0.000
Cu: 0.595 0.095 0.500
Cu: 0.750 0.250 0.500
Cu: 0.905 0.405 0.500
Si: 0.330 0.330 0.000
Si: 0.670 0.670 0.000

Calculated values
Its space-group type is I4/mmm (139). For the total energy, the calculation gives -0.31427 Ry per atom. For the formation energy without anion corrections, the calculation gives -0.021 eV per atom.

A relaxed structure of SbTe2OsO, computed with GGA-PBE.

abc: 4.691 4.691 4.582
angles: 90.00 90.00 90.00
Positions (direct):
Sb: 0.000 0.000 0.000
Te: 0.000 0.500 0.500
Te: 0.500 0.000 0.500
Os: 0.500 0.500 0.000
O: 0.000 0.000 0.500

Calculated values
Its space-group type is P4/mmm (123). For the total energy, the calculation gives -0.33518 Ry per atom. For the formation energy without anion corrections, the calculation gives 0.758 eV per atom. The energy above the most stable polymorph in this dataset is 0 meV/atom.

A relaxed structure of PuBiH, computed with GGA-PBE.

abc: 4.258 4.258 6.672
angles: 90.00 90.00 90.00
Positions (direct):
Pu: 0.250 0.250 0.128
Pu: 0.750 0.750 0.872
Bi: 0.250 0.250 0.628
Bi: 0.750 0.750 0.372
H: 0.250 0.750 0.000
H: 0.750 0.250 0.000

Calculated values
Its space-group type is P4/nmm (129). For the total energy, the calculation gives -0.55177 Ry per atom. The energy above the most stable polymorph in this dataset is 17 meV/atom.

A relaxed structure of Sc2InMo, computed with GGA-PBE.

abc: 4.121 4.121 20.252
angles: 90.00 90.00 90.00
Positions (direct):
Sc: 0.236 0.250 0.125
Sc: 0.250 0.736 0.375
Sc: 0.250 0.764 0.875
Sc: 0.264 0.250 0.625
Sc: 0.736 0.750 0.625
Sc: 0.750 0.236 0.875
Sc: 0.750 0.264 0.375
Sc: 0.764 0.750 0.125
In: 0.000 0.000 0.500
In: 0.000 0.500 0.750
In: 0.500 0.000 0.250
In: 0.500 0.500 0.000
Mo: 0.000 0.000 0.000
Mo: 0.000 0.500 0.250
Mo: 0.500 0.000 0.750
Mo: 0.500 0.500 0.500

Calculated values
Its space-group type is I-42d (122). As for the formation energy: 1.94 eV/f.u. For the total energy, the calculation gives -0.44630 Ry per atom.

A relaxed structure of MgNiMo, computed with GGA-PBE.

abc: 2.780 2.780 11.512
angles: 90.00 90.00 90.00
Positions (direct):
Mg: 0.000 0.000 0.000
Mg: 0.500 0.500 0.500
Ni: 0.000 0.000 0.340
Ni: 0.500 0.500 0.840
Mo: 0.000 0.000 0.695
Mo: 0.500 0.500 0.195

Calculated values
Its space-group type is I4mm (107). As for the formation energy: 0.23 eV/f.u. For the total energy, the calculation gives -0.44051 Ry per atom. The energy above the most stable polymorph in this dataset is 66 meV/atom.

A relaxed structure of Tl4H2Br3, computed with GGA-PBE.

abc: 8.639 8.639 7.250
angles: 98.42 98.42 76.36
Positions (direct):
Tl: 0.071 0.714 0.965
Tl: 0.270 0.373 0.367
Tl: 0.286 0.929 0.535
Tl: 0.373 0.270 0.867
Tl: 0.627 0.730 0.133
Tl: 0.714 0.071 0.465
Tl: 0.730 0.627 0.633
Tl: 0.929 0.286 0.035
H: 0.223 0.402 0.069
H: 0.402 0.223 0.569
H: 0.598 0.777 0.431
H: 0.777 0.598 0.931
Br: 0.004 0.262 0.604
Br: 0.262 0.004 0.104
Br: 0.400 0.600 0.750
Br: 0.600 0.400 0.250
Br: 0.738 0.996 0.896
Br: 0.996 0.738 0.396

Calculated values
Its space-group type is C2/c (15). For the total energy, the calculation gives -0.19633 Ry per atom.

A relaxed structure of CeNdInRu, computed with GGA-PBE.

abc: 7.354 7.354 7.354
angles: 90.00 90.00 90.00
Positions (direct):
Ce: 0.000 0.000 0.000
Ce: 0.000 0.500 0.500
Ce: 0.500 0.000 0.500
Ce: 0.500 0.500 0.000
Nd: 0.000 0.000 0.500
Nd: 0.000 0.500 0.000
Nd: 0.500 0.000 0.000
Nd: 0.500 0.500 0.500
In: 0.250 0.250 0.250
In: 0.250 0.750 0.750
In: 0.750 0.250 0.750
In: 0.750 0.750 0.250
Ru: 0.250 0.250 0.750
Ru: 0.250 0.750 0.250
Ru: 0.750 0.250 0.250
Ru: 0.750 0.750 0.750

Calculated values
Its space-group type is F-43m (216). As for the formation energy: -0.66 eV/f.u. For the total energy, the calculation gives -0.42945 Ry per atom. The energy above the most stable polymorph in this dataset is 182 meV/atom.

A relaxed structure of TiBi2HO6, computed with GGA-PBE.

abc: 5.586 5.647 6.104
angles: 117.09 90.67 118.26
Positions (direct):
Ti: 0.000 0.000 0.000
Bi: 0.212 0.420 0.621
Bi: 0.691 0.379 0.096
H: 0.274 0.877 0.321
O: 0.107 0.891 0.304
O: 0.269 0.918 0.841
O: 0.364 0.431 0.280
O: 0.683 0.582 0.851
O: 0.842 0.190 0.285
O: 0.901 0.147 0.824

Calculated values
Its space-group type is P1 (1). For the total energy, the calculation gives -0.47676 Ry per atom.

Q: Which formula does entry 5 have?
A: GaCu7Si2